No. 1
Density functional theory data (PBE-GGA) for a relaxed structure of Cs2Li2OsO6.

Results
ΔE_f (raw) = -1.387 eV per atom
crystal system = monoclinic
volume = 401 Å³/cell
density = 4.685 g/cm3

Cell: 7.049 8.355 7.626 Å, 90.00 116.71 90.00°
Space group C2/m (No. 12)
Inequivalent atoms, fractional coordinates:
Cs 0.000 0.230 0.000 (multiplicity 4)
Li 0.000 0.157 0.500 (multiplicity 4)
Os 0.000 0.500 0.500 (multiplicity 2)
O 0.088 0.339 0.691 (multiplicity 8)
O 0.224 0.000 0.492 (multiplicity 4)

No. 2
Density functional theory data (PBE-GGA) for a relaxed structure of BC2.

Results
crystal system = monoclinic
volume = 76 Å³/cell
formation enthalpy at 0 K = 1.03 eV per formula unit
density = 3.028 g/cm3

Cell: 3.946 3.604 5.709 Å, 90.00 109.75 90.00°
Space group P2 (No. 3)
Inequivalent atoms, fractional coordinates:
B 0.000 0.000 0.000 (multiplicity 1)
B 0.115 0.560 0.304 (multiplicity 2)
B 0.500 0.253 0.500 (multiplicity 1)
C 0.000 0.788 0.500 (multiplicity 1)
C 0.184 0.257 0.841 (multiplicity 2)
C 0.322 0.023 0.667 (multiplicity 2)
C 0.377 0.745 0.180 (multiplicity 2)
C 0.500 0.505 0.000 (multiplicity 1)

No. 3
Density functional theory data (PBE-GGA) for a relaxed structure of Sr2HfP2N6.

Results
ΔE_f (raw) = -0.985 eV per atom
crystal system = trigonal
volume = 471 Å³/cell
density = 5.282 g/cm3

Cell: 5.6402 5.6402 17.1067 Å, 90.00 90.00 120.00°
Space group R-3m (No. 166, hexagonal axes)
Inequivalent atoms, fractional coordinates:
Sr 0.0000 0.0000 0.2137 (multiplicity 6)
Hf 0.0000 0.0000 0.0000 (multiplicity 3)
P 0.0000 0.0000 0.4120 (multiplicity 6)
N 0.0108 0.5054 0.2533 (multiplicity 18)

No. 4
Density functional theory data (PBE-GGA) for a relaxed structure of TlCdGe2.

Results
crystal system = tetragonal
volume = 384 Å³/cell
formation enthalpy at 0 K = 1.27 eV per formula unit
density = 7.990 g/cm3

Cell: 8.071 8.071 5.898 Å, 90.00 90.00 90.00°
Space group I-42d (No. 122)
Inequivalent atoms, fractional coordinates:
Tl 0.000 0.000 0.000 (multiplicity 4)
Cd 0.000 0.000 0.500 (multiplicity 4)
Ge 0.228 0.250 0.625 (multiplicity 8)

No. 5
Density functional theory data (PBE-GGA) for a relaxed structure of BaIn2As.

Results
crystal system = orthorhombic
volume = 254 Å³/cell
formation enthalpy at 0 K = -1.50 eV per formula unit
density = 5.767 g/cm3

Cell: 4.454 5.078 11.250 Å, 90.00 90.00 90.00°
Space group Imm2 (No. 44)
Inequivalent atoms, fractional coordinates:
Ba 0.000 0.000 0.000 (multiplicity 2)
In 0.000 0.000 0.608 (multiplicity 2)
In 0.000 0.500 0.782 (multiplicity 2)
As 0.000 0.500 0.261 (multiplicity 2)

No. 6
Density functional theory data (PBE-GGA) for a relaxed structure of Co2NiSe.

Results
ΔE_f (raw) = 0.212 eV per atom
crystal system = orthorhombic
volume = 97 Å³/cell
density = 8.763 g/cm3

Cell: 3.652 3.828 6.928 Å, 90.00 90.00 90.00°
Space group Immm (No. 71)
Inequivalent atoms, fractional coordinates:
Co 0.000 0.000 0.240 (multiplicity 4)
Ni 0.000 0.500 0.000 (multiplicity 2)
Se 0.000 0.500 0.500 (multiplicity 2)

No. 7
Density functional theory data (PBE-GGA) for a relaxed structure of Pr3Ge2.

Results
crystal system = orthorhombic
volume = 280 Å³/cell
formation enthalpy at 0 K = -3.41 eV per formula unit
density = 6.734 g/cm3

Cell: 4.521 6.662 9.300 Å, 90.00 90.00 90.00°
Space group Immm (No. 71)
Inequivalent atoms, fractional coordinates:
Pr 0.000 0.000 0.000 (multiplicity 2)
Pr 0.000 0.500 0.201 (multiplicity 4)
Ge 0.000 0.198 0.500 (multiplicity 4)

No. 8
Density functional theory data (PBE-GGA) for a relaxed structure of Li5Pt3.

Results
crystal system = trigonal
volume = 336 Å³/cell
formation enthalpy at 0 K = -4.09 eV per formula unit
density = 9.199 g/cm3

Cell: 5.5268 5.5268 12.6920 Å, 90.00 90.00 120.00°
Space group R-3m (No. 166, hexagonal axes)
Inequivalent atoms, fractional coordinates:
Li 0.0000 0.0000 0.0000 (multiplicity 3)
Li 0.0000 0.0000 0.5000 (multiplicity 3)
Li 0.0000 0.5000 0.0000 (multiplicity 9)
Pt 0.0000 0.5000 0.5000 (multiplicity 9)